Material: ZnP2Se
Method: DFT, PBE-GGA
State: optimized geometry

Properties
energy relative to the lowest polymorph listed for this composition = 24.8 kJ/mol of atoms
formation energy (no corrections) = 0.14 eV per atom
E = -15.02 eV per cell
symmetry = Imm2 (44)
volume = 93.9 Å³/f.u.

a b c (Å): 8.799 8.799 8.799
angles (deg): 159.87 156.38 31.22
Fractional positions:
P  0.888  0.888  0.000
P  0.801  0.301  0.500
Zn  0.205  0.705  0.500
Se  0.606  0.606  0.000

***

Material: ZnPSe2
Method: DFT, PBE-GGA
State: optimized geometry

Properties
energy relative to the lowest polymorph listed for this composition = 63.5 kJ/mol of atoms
formation energy (no corrections) = 0.58 eV per atom
E = -11.32 eV per cell
symmetry = F-43m (216)
volume = 73.0 Å³/f.u.

a b c (Å): 4.692 4.692 4.692
angles (deg): 60.00 60.00 60.00
Fractional positions:
Se  0.750  0.750  0.750
Zn  0.250  0.250  0.250
Se  0.000  0.000  0.000
P  0.500  0.500  0.500

***

Material: ZnP2Se
Method: DFT, PBE-GGA
State: optimized geometry

Properties
energy relative to the lowest polymorph listed for this composition = 35.9 kJ/mol of atoms
formation energy (no corrections) = 0.26 eV per atom
E = -14.56 eV per cell
symmetry = C2/m (12)
volume = 76.7 Å³/f.u.

a b c (Å): 4.028 4.028 7.954
angles (deg): 103.63 103.63 37.85
Fractional positions:
Zn  0.250  0.250  0.250
Se  0.750  0.750  0.750
P  0.584  0.584  0.441
P  0.916  0.916  0.059

***

Material: ZnPSe3
Method: DFT, PBE-GGA
State: optimized geometry

Properties
formation energy (no corrections) = 0.44 eV per atom
E = -14.92 eV per cell
symmetry = Pm-3m (221)
volume = 113.6 Å³/f.u.

a b c (Å): 4.843 4.843 4.843
angles (deg): 90.00 90.00 90.00
Fractional positions:
Zn  0.500  0.500  0.500
Se  0.000  0.000  0.500
P  0.000  0.000  0.000
Se  0.000  0.500  0.000
Se  0.500  0.000  0.000

***

Material: ZnPSe2
Method: DFT, PBE-GGA
State: optimized geometry

Properties
energy relative to the lowest polymorph listed for this composition = 55.1 kJ/mol of atoms
formation energy (no corrections) = 0.50 eV per atom
E = -11.66 eV per cell
symmetry = Pmmm (47)
volume = 75.6 Å³/f.u.

a b c (Å): 3.250 5.331 4.364
angles (deg): 90.00 90.00 90.00
Fractional positions:
Se  0.000  0.000  0.000
Se  0.500  0.000  0.500
Zn  0.500  0.500  0.000
P  0.000  0.500  0.500

***

Material: ZrPSe
Method: DFT, PBE-GGA
State: optimized geometry

Properties
formation energy (no corrections) = -0.55 eV per atom
E = -19.10 eV per cell
symmetry = Fmm2 (42)
volume = 68.2 Å³/f.u.

a b c (Å): 7.380 7.212 3.182
angles (deg): 80.37 74.47 25.15
Fractional positions:
P  0.961  0.961  0.039
Zr  0.338  0.338  0.662
Se  0.701  0.701  0.299

***

Material: ZrPSe
Method: DFT, PBE-GGA
State: optimized geometry

Properties
formation energy (no corrections) = -0.45 eV per atom
E = -18.79 eV per cell
symmetry = P-6m2 (187)
volume = 59.3 Å³/f.u.

a b c (Å): 4.517 4.517 3.355
angles (deg): 90.00 90.00 120.00
Fractional positions:
P  0.000  0.000  0.500
Zr  0.333  0.667  0.000
Se  0.667  0.333  0.000

***

Material: ZrPSe
Method: DFT, PBE-GGA
State: optimized geometry

Properties
formation energy (no corrections) = -0.26 eV per atom
E = -18.21 eV per cell
symmetry = F-43m (216)
volume = 62.5 Å³/f.u.

a b c (Å): 4.456 4.456 4.456
angles (deg): 60.00 60.00 60.00
Fractional positions:
P  0.250  0.250  0.250
Zr  0.500  0.500  0.500
Se  0.000  0.000  0.000

***

Material: ZrPSe3
Method: DFT, PBE-GGA
State: optimized geometry

Properties
energy relative to the lowest polymorph listed for this composition = 0.0 kJ/mol of atoms
formation energy (no corrections) = 0.12 eV per atom
E = -23.79 eV per cell
symmetry = Pm-3m (221)
volume = 108.0 Å³/f.u.

a b c (Å): 4.763 4.763 4.763
angles (deg): 90.00 90.00 90.00
Fractional positions:
Se  0.000  0.500  0.000
Se  0.000  0.000  0.500
Zr  0.500  0.500  0.500
Se  0.500  0.000  0.000
P  0.000  0.000  0.000

***

Material: ZrPSe2
Method: DFT, PBE-GGA
State: optimized geometry

Properties
formation energy (no corrections) = -0.43 eV per atom
E = -22.66 eV per cell
symmetry = R-3m (166)
volume = 95.3 Å³/f.u.

a b c (Å): 8.744 8.744 8.744
angles (deg): 23.75 23.75 23.75
Fractional positions:
Se  0.099  0.099  0.099
Se  0.901  0.901  0.901
Zr  0.500  0.500  0.500
P  0.000  0.000  0.000

***

Material: ZrPSe
Method: DFT, PBE-GGA
State: optimized geometry

Properties
formation energy (no corrections) = -0.69 eV per atom
E = -19.52 eV per cell
symmetry = P3m1 (156)
volume = 68.2 Å³/f.u.

a b c (Å): 3.660 3.660 5.879
angles (deg): 90.00 90.00 120.00
Fractional positions:
Zr  0.333  0.667  0.676
P  0.000  0.000  0.939
Se  0.667  0.333  0.385

***

Material: ZrPSe
Method: DFT, PBE-GGA
State: optimized geometry

Properties
formation energy (no corrections) = -1.02 eV per atom
E = -41.02 eV per cell
symmetry = I4/mmm (139)
volume = 63.3 Å³/f.u.

a b c (Å): 3.528 3.528 10.471
angles (deg): 99.70 99.70 90.00
Each line ends with the local moment (μB).
Fractional positions:
P  0.000  0.500  0.000  0.00
P  0.500  0.000  0.000  0.00
Zr  0.605  0.605  0.210  0.07
Se  0.835  0.835  0.670  0.00
Se  0.165  0.165  0.330  0.00
Zr  0.395  0.395  0.790  0.07